1.
Below is a relaxed Mg2Cd2Ag5 crystal, with properties calculated at the GGA-PBE level.

Energy of formation ... -0.06 eV/atom
E ... -39.652 eV for the cell shown
Energy relative to the lowest polymorph listed for this composition ... 21 meV/atom
Crystal system ... orthorhombic

a = 7.828 Å, b = 5.428 Å, c = 9.621 Å
α = 106.39°, β = 114.00°, γ = 90.00°
Positions (direct):
Mg (0.208, 0.557, 0.157)
Mg (0.792, 0.400, 0.843)
Mg (0.449, 0.057, 0.157)
Mg (0.551, 0.900, 0.843)
Cd (0.000, 0.963, 0.000)
Cd (0.500, 0.463, 0.000)
Cd (0.936, 0.314, 0.500)
Cd (0.064, 0.814, 0.500)
Ag (0.196, 0.693, 0.818)
Ag (0.804, 0.875, 0.182)
Ag (0.122, 0.193, 0.818)
Ag (0.878, 0.375, 0.182)
Ag (0.202, 0.110, 0.331)
Ag (0.798, 0.779, 0.669)
Ag (0.629, 0.610, 0.331)
Ag (0.371, 0.279, 0.669)
Ag (0.404, 0.645, 0.500)
Ag (0.596, 0.145, 0.500)

---

2.
Below is a relaxed Mg6Cd2Ag crystal, with properties calculated at the GGA-PBE level.

Energy of formation ... 0.02 eV/atom
E ... -14.101 eV for the cell shown
Energy relative to the lowest polymorph listed for this composition ... 141 meV/atom
Crystal system ... monoclinic

a = 4.553 Å, b = 6.931 Å, c = 8.152 Å
α = 115.16°, β = 104.93°, γ = 90.00°
Positions (direct):
Mg (0.161, 0.400, 0.327)
Mg (0.839, 0.073, 0.673)
Mg (0.839, 0.600, 0.673)
Mg (0.500, 0.240, 0.000)
Mg (0.161, 0.927, 0.327)
Mg (0.500, 0.760, 0.000)
Cd (0.663, 0.664, 0.329)
Cd (0.337, 0.336, 0.671)
Ag (0.000, 0.000, 0.000)

---

3.
Below is a relaxed MgCd2Ag5 crystal, with properties calculated at the GGA-PBE level.

Energy of formation ... -0.10 eV/atom
E ... -18.483 eV for the cell shown
Energy relative to the lowest polymorph listed for this composition ... 0 meV/atom
Crystal system ... tetragonal

a = 4.284 Å, b = 4.284 Å, c = 8.690 Å
α = 104.27°, β = 104.27°, γ = 90.00°
Positions (direct):
Mg (0.000, 0.000, 0.000)
Cd (0.749, 0.749, 0.497)
Cd (0.251, 0.251, 0.503)
Ag (0.500, 0.500, 0.000)
Ag (0.878, 0.378, 0.756)
Ag (0.378, 0.878, 0.756)
Ag (0.122, 0.622, 0.244)
Ag (0.622, 0.122, 0.244)

---

4.
Below is a relaxed Mg2Cd5Ag crystal, with properties calculated at the GGA-PBE level.

Energy of formation ... -0.08 eV/atom
E ... -22.508 eV for the cell shown
Crystal system ... orthorhombic

a = 4.317 Å, b = 6.258 Å, c = 12.550 Å
α = 90.00°, β = 90.00°, γ = 90.00°
Positions (direct):
Mg (0.500, 0.239, 0.621)
Mg (0.500, 0.761, 0.379)
Mg (0.500, 0.261, 0.121)
Mg (0.500, 0.739, 0.879)
Cd (0.000, 0.000, 0.000)
Cd (0.000, 0.500, 0.500)
Cd (0.000, 0.495, 0.753)
Cd (0.000, 0.505, 0.247)
Cd (0.000, 0.005, 0.253)
Cd (0.000, 0.995, 0.747)
Cd (0.500, 0.248, 0.876)
Cd (0.500, 0.752, 0.124)
Cd (0.500, 0.252, 0.376)
Cd (0.500, 0.748, 0.624)
Ag (0.000, 0.000, 0.500)
Ag (0.000, 0.500, 0.000)

---

5.
Below is a relaxed MgCd2Ag3 crystal, with properties calculated at the GGA-PBE level.

Energy of formation ... -0.12 eV/atom
E ... -12.689 eV for the cell shown
Crystal system ... tetragonal

a = 3.451 Å, b = 3.451 Å, c = 9.605 Å
α = 90.00°, β = 90.00°, γ = 90.00°
Positions (direct):
Mg (0.500, 0.500, 0.500)
Cd (0.500, 0.500, 0.830)
Cd (0.500, 0.500, 0.170)
Ag (0.000, 0.000, 0.000)
Ag (0.000, 0.000, 0.659)
Ag (0.000, 0.000, 0.341)

---

6.
Below is a relaxed MgCdAg6 crystal, with properties calculated at the GGA-PBE level.

Energy of formation ... 0.17 eV/atom
E ... -18.289 eV for the cell shown
Energy relative to the lowest polymorph listed for this composition ... 263 meV/atom
Crystal system ... trigonal

a = 5.609 Å, b = 5.609 Å, c = 5.609 Å
α = 85.22°, β = 85.22°, γ = 85.22°
Positions (direct):
Mg (0.500, 0.500, 0.500)
Cd (0.000, 0.000, 0.000)
Ag (0.165, 0.534, 0.165)
Ag (0.165, 0.165, 0.534)
Ag (0.835, 0.466, 0.835)
Ag (0.466, 0.835, 0.835)
Ag (0.835, 0.835, 0.466)
Ag (0.534, 0.165, 0.165)

---

7.
Below is a relaxed MgCd3Ag7 crystal, with properties calculated at the GGA-PBE level.

Energy of formation ... 0.07 eV/atom
E ... -23.479 eV for the cell shown
Energy relative to the lowest polymorph listed for this composition ... 106 meV/atom
Crystal system ... monoclinic

a = 5.257 Å, b = 7.351 Å, c = 7.351 Å
α = 83.58°, β = 115.95°, γ = 115.95°
Positions (direct):
Mg (0.500, 0.500, 0.500)
Cd (0.000, 0.790, 0.210)
Cd (0.500, 0.000, 0.000)
Cd (0.000, 0.210, 0.790)
Ag (0.388, 0.221, 0.221)
Ag (0.328, 0.071, 0.583)
Ag (0.672, 0.417, 0.929)
Ag (0.328, 0.583, 0.071)
Ag (0.000, 0.500, 0.500)
Ag (0.672, 0.929, 0.417)
Ag (0.612, 0.779, 0.779)

---

8.
Below is a relaxed MgCd3Ag3 crystal, with properties calculated at the GGA-PBE level.

Energy of formation ... 0.50 eV/atom
E ... -18.734 eV for the cell shown
Energy relative to the lowest polymorph listed for this composition ... 576 meV/atom
Crystal system ... cubic

a = 7.700 Å, b = 7.700 Å, c = 7.700 Å
α = 90.00°, β = 90.00°, γ = 90.00°
Positions (direct):
Mg (0.500, 0.500, 0.500)
Mg (0.000, 0.000, 0.000)
Ag (0.000, 0.250, 0.500)
Ag (0.000, 0.750, 0.500)
Ag (0.500, 0.000, 0.750)
Ag (0.750, 0.500, 0.000)
Ag (0.500, 0.000, 0.250)
Ag (0.250, 0.500, 0.000)
Cd (0.250, 0.000, 0.500)
Cd (0.000, 0.500, 0.250)
Cd (0.500, 0.750, 0.000)
Cd (0.750, 0.000, 0.500)
Cd (0.000, 0.500, 0.750)
Cd (0.500, 0.250, 0.000)

---

Q: Among the records above, which one has the lowest E?
A: Mg2Cd2Ag5